PaMnAlTc | GGA-PBE | optimized geometry

The total moment comes out at 0.367 μB per atom. For the formation energy, the calculation gives -0.25 eV/atom. As for the space-group type: F-43m.

a = 4.5444 Å, b = 4.5444 Å, c = 4.5444 Å
α = 60.00°, β = 60.00°, γ = 60.00°
Each line ends with the local moment (μB).
Element x y z (fractional)
Mn  0.7500  0.7500  0.7500  1.59
Tc  0.2500  0.2500  0.2500  0.18
Al  0.5000  0.5000  0.5000  -0.01
Pa  0.0000  0.0000  0.0000  -0.25